Mg6CrNiO8: optimized geometry, PBE with a Hubbard U.

```
16
Lattice="4.3072 0.0000 0.0000 0.0000 4.3072 0.0000 0.0000 0.0000 8.4382" Properties=species:S:1:pos:R:3 pbc="T T T"
Mg 2.1536 2.1536 0.0000
Mg 2.1536 2.1536 4.2191
Mg 0.0000 2.1536 2.0931
Mg 0.0000 2.1536 6.3451
Mg 2.1536 0.0000 2.0931
Mg 2.1536 0.0000 6.3451
Cr 0.0000 0.0000 4.2191
Ni 0.0000 0.0000 0.0000
O 0.0000 0.0000 2.1288
O 0.0000 0.0000 6.3093
O 2.1536 2.1536 2.1093
O 2.1536 2.1536 6.3288
O 0.0000 2.1536 0.0000
O 0.0000 2.1536 4.2191
O 2.1536 0.0000 0.0000
O 2.1536 0.0000 4.2191
```

Summary:
- symmetry = P4/mmm, No. 123
- size of the total moment (μB/atom) = 0.36


Mg6CrNiO8: optimized geometry, PBE with a Hubbard U.

```
16
Lattice="-0.9287 3.7684 -1.8727 1.6546 -1.4363 -3.7108 -7.5688 -2.9709 -2.2250" Properties=species:S:1:pos:R:3 pbc="T T T"
Mg -3.7844 -1.4855 -1.1125
Mg -3.4214 -0.3194 -3.9042
Mg -1.0511 -1.4555 -2.4076
Mg -4.8631 -2.9517 -3.5282
Mg -2.3428 1.1469 -1.4886
Mg -6.1547 -0.3494 -2.6091
Cr 0.3630 1.1661 -2.7917
Ni 0.0000 0.0000 0.0000
O -1.9108 -0.7500 -0.5617
O -5.6580 -2.2209 -1.6633
O -1.5254 0.4248 -3.3469
O -5.3175 -1.0636 -4.4616
O 0.8273 -0.7181 -1.8554
O -2.9571 -2.2036 -2.9679
O -0.4643 1.8842 -0.9363
O -4.2488 0.3988 -2.0488
```

Summary:
- symmetry = P4/mmm, No. 123
- size of the total moment (μB/atom) = 0.36


| no. | energy (eV per atom) |
| --- | --- |
| 1 | -6.044 |
| 2 | -6.042 |